(1)
Material: LaHfN2F
Method: DFT, meta-GGA SCAN
State: PBEsol geometry

Cell: 3.977 4.240 4.240 Å, 90.00 90.00 90.00°
Element x y z (fractional)
N: 0.000 0.000 0.500
N: 0.000 0.500 0.000
F: 0.500 0.000 0.000
La: 0.500 0.500 0.500
Hf: 0.000 0.000 0.000

Results
Symmetry ... No. 123
E_form (uncorrected) ... -2208 meV per atom
VASP energy ... -27.79 eV per atom

---

(2)
Material: Y2ZnCr
Method: DFT, meta-GGA SCAN
State: PBEsol geometry

Cell: 3.511 3.511 7.042 Å, 90.00 90.00 90.00°
Element x y z (fractional)
Y: 0.000 0.000 0.748
Y: 0.000 0.000 0.252
Zn: 0.500 0.500 0.000
Cr: 0.500 0.500 0.500

Results
Excess energy over the best structure of this formula in the dataset ... 11 meV per atom
Energy of formation from the pure elements ... -0.162 eV per atom
Symmetry ... No. 123
VASP energy ... -22.06 eV per atom